# BaSrCeCrO6 (PBE+U, optimized geometry)
data_BaSrCeCrO6
_symmetry_space_group_name_H-M 'F -4 3 m'
_symmetry_Int_Tables_number 216
_symmetry_space_group_name_Hall 'F -4 2 3'
_cell_length_a 8.3597
_cell_length_b 8.3597
_cell_length_c 8.3597
_cell_angle_alpha 90.00
_cell_angle_beta 90.00
_cell_angle_gamma 90.00
loop_
_atom_site_label
_atom_site_type_symbol
_atom_site_fract_x
_atom_site_fract_y
_atom_site_fract_z
Ba1 Ba 0.0000 0.0000 0.0000
Sr1 Sr 0.0000 0.0000 0.5000
Ce1 Ce 0.2500 0.2500 0.2500
Cr1 Cr 0.2500 0.2500 0.7500
O1 O 0.0157 0.2500 0.7500
# Total DFT energy (no corrections) = -291.615 eV/cell
# M_tot = 7.981 μB per cell